[1]
This record from Alexandria via LeMat-Bulk describes Te2RuPtI after structural relaxation. The functional is PBE-GGA.

```
Te2RuPtI
1.0
5.047 0.000 0.000
0.000 5.047 0.000
0.000 0.000 5.488
I Ru Te Pt
1 1 2 1
Direct
0.000 0.000 0.500
0.000 0.000 0.000
0.000 0.500 0.000
0.500 0.000 0.000
0.500 0.500 0.500
```

* size of the total moment: 0.000 μB per atom
* E above lowest polymorph: 0.00 kJ/mol of atoms
* formation energy from raw total energies: 0.922 eV/atom
* D(E_F): 1.51 states/eV/atom
* space-group type: No. 123
* VASP energy: -18.5 eV for the cell shown
* volume: 139.8 Å³ per cell


[2]
This record from Alexandria via LeMat-Bulk describes Na2Cd2Ir after structural relaxation. The functional is PBE-GGA.

```
Na2Cd2Ir
1.0
-7.352 -1.793 0.743
0.894 -0.544 7.531
-0.792 3.388 0.339
Na Ir Cd
4 2 4
Direct
0.372 0.872 0.000
0.872 0.628 0.000
0.628 0.128 0.000
0.128 0.372 0.000
0.000 0.000 0.000
0.500 0.500 0.000
0.179 0.679 0.500
0.679 0.821 0.500
0.821 0.321 0.500
0.321 0.179 0.500
```

* E_form: 0.56 eV/atom
* size of the total moment: 0.000 μB per atom
* E above lowest polymorph: 33.96 kJ/mol of atoms
* D(E_F): 0.44 states/eV/atom
* space-group type: No. 127
* VASP energy: -21.0 eV for the cell shown
* volume: 202.1 Å³ per cell